# 1
A geometry-optimized LuZnRh structure, computed with GGA-PBE.

Cell lengths 4.0213, 6.8024, 8.0041 Å; angles 90.00, 90.00, 90.00 degrees
Fractional positions:
Lu  0.2500  0.5384  0.1810
Lu  0.7500  0.4616  0.8190
Lu  0.7500  0.9616  0.6810
Lu  0.2500  0.0384  0.3190
Zn  0.2500  0.6374  0.5623
Zn  0.7500  0.3626  0.4377
Zn  0.7500  0.8626  0.0623
Zn  0.2500  0.1374  0.9377
Rh  0.2500  0.7535  0.8749
Rh  0.7500  0.2465  0.1251
Rh  0.7500  0.7465  0.3749
Rh  0.2500  0.2535  0.6251

## Properties
M_tot	0.000	μB/atom
ΔE_f	-0.767	eV/atom
DFT total energy	-15.45	eV/f.u.

---

# 2
A geometry-optimized LuZnRh structure, computed with GGA-PBE.

Cell lengths 3.2869, 4.3999, 4.3999 Å; angles 120.00, 90.00, 90.00 degrees
Fractional positions:
Zn  0.1670  0.0000  0.0000
Lu  0.6668  0.6667  0.3333
Rh  0.1662  0.3333  0.6667

## Properties
M_tot	0.000	μB/atom
ΔE_f	-0.636	eV/atom
DFT total energy	-15.05	eV/f.u.

---

# 3
A geometry-optimized LuZn2Rh structure, computed with GGA-PBE.

Cell lengths 4.5442, 4.5442, 4.5442 Å; angles 60.00, 60.00, 60.00 degrees
Fractional positions:
Zn  0.2500  0.2500  0.2500
Zn  0.7500  0.7500  0.7500
Lu  0.0000  0.0000  0.0000
Rh  0.5000  0.5000  0.5000

## Properties
M_tot	0.000	μB/atom
ΔE_f	-0.445	eV/atom
DFT total energy	-16.20	eV/f.u.

---

# 4
A geometry-optimized LuZrRh2 structure, computed with GGA-PBE.

Cell lengths 4.7043, 4.7043, 4.7043 Å; angles 60.00, 60.00, 60.00 degrees
Fractional positions:
Lu  0.0000  0.0000  0.0000
Rh  0.2500  0.2500  0.2500
Rh  0.7500  0.7500  0.7500
Zr  0.5000  0.5000  0.5000

## Properties
M_tot	0.001	μB/atom
ΔE_f	-0.882	eV/atom
DFT total energy	-31.30	eV/f.u.